Entry w
A plane-wave DFT calculation with PBE was carried out for a geometry-optimized MnCo2W structure.

**Volume**: 12.1 A^3/atom

abc: 2.592 2.592 7.187
angles: 90.00 90.00 90.04
Last column: magnetic moment on the atom in μB.
Atoms (fractional coordinates):
Mn 0.500 0.500 0.250  1.45
Co 0.000 0.000 0.017  -0.13
W 0.500 0.500 0.750  0.00
Co 0.000 0.000 0.483  -0.13

=====

Entry x
A plane-wave DFT calculation with PBE was carried out for a geometry-optimized MnCo2W structure.

**Volume**: 12.4 A^3/atom

abc: 2.620 2.620 7.219
angles: 90.00 90.00 89.90
Last column: magnetic moment on the atom in μB.
Atoms (fractional coordinates):
Mn 0.000 0.000 0.477  -1.95
W 0.500 0.500 0.759  0.07
Co 0.000 0.000 0.020  1.08
Co 0.500 0.500 0.244  1.32

=====

Entry y
A plane-wave DFT calculation with PBE was carried out for a geometry-optimized MnCo2W structure.

**Volume**: 12.6 A^3/atom

abc: 8.587 8.587 8.587
angles: 17.55 17.55 17.55
Last column: magnetic moment on the atom in μB.
Atoms (fractional coordinates):
W 0.749 0.749 0.749  0.00
Co 0.250 0.250 0.250  1.19
Mn 0.506 0.506 0.506  -1.48
Co 0.995 0.995 0.995  1.27

=====

Entry z
A plane-wave DFT calculation with PBE was carried out for a geometry-optimized MnCo2W structure.

**Volume**: 12.1 A^3/atom

abc: 4.434 4.434 2.615
angles: 90.00 90.00 109.37
Last column: magnetic moment on the atom in μB.
Atoms (fractional coordinates):
W 0.000 0.500 0.500  -0.17
Mn 0.500 0.000 0.500  1.76
Co 0.500 0.500 0.000  -0.07
Co 0.000 0.000 0.000  -0.07

=====

entry z takes first place; second place is 4.4 kJ/mol of atoms up.

=====

Entry w
A plane-wave DFT calculation with PBE was carried out for a geometry-optimized MnCo2W structure.

**Volume**: 13.2 A^3/atom

abc: 3.524 3.524 8.839
angles: 78.50 78.50 90.00
Last column: magnetic moment on the atom in μB.
Atoms (fractional coordinates):
Co 0.375 0.401 0.750  0.86
W 0.750 0.250 0.500  -0.37
Co 0.151 0.625 0.250  0.87
Mn 0.500 0.500 0.000  1.79
W 0.000 0.000 0.000  -0.37
Co 0.875 0.849 0.750  0.87
Mn 0.250 0.750 0.500  1.79
Co 0.599 0.125 0.250  0.86

=====

Entry x
A plane-wave DFT calculation with PBE was carried out for a geometry-optimized MnCo2W structure.

**Volume**: 11.9 A^3/atom

abc: 4.106 2.586 4.483
angles: 89.99 90.00 90.00
Atoms (fractional coordinates):
W 0.500 0.625 0.791
Mn 0.000 0.625 0.440
Co 0.000 0.125 0.972
Co 0.500 0.125 0.297

=====

entry x takes first place; second place is 54.2 kJ/mol of atoms up.

=====

Entry w
A plane-wave DFT calculation with PBE was carried out for a geometry-optimized Mn3CoW structure.

**Volume**: 15.4 A^3/atom

abc: 4.251 4.251 4.251
angles: 90.00 90.00 90.00
Last column: magnetic moment on the atom in μB.
Atoms (fractional coordinates):
Mn 0.000 0.000 0.500  2.86
Mn 0.500 0.000 0.000  2.62
Mn 0.000 0.500 0.000  2.82
W 0.500 0.500 0.500  -1.59
Co 0.000 0.000 0.000  0.94

=====

Entry x
A plane-wave DFT calculation with PBE was carried out for a geometry-optimized Mn3CoW structure.

**Volume**: 18.9 A^3/atom

abc: 4.552 4.552 4.552
angles: 90.00 90.00 90.00
Last column: magnetic moment on the atom in μB.
Atoms (fractional coordinates):
Mn 0.000 0.500 0.000  2.79
Mn 0.500 0.000 0.000  2.98
Mn 0.000 0.000 0.500  2.59
Co 0.500 0.500 0.500  1.95
W 0.000 0.000 0.000  -0.85

=====

entry w takes first place; second place is 43.8 kJ/mol of atoms up.

=====

Entry w
A plane-wave DFT calculation with PBE was carried out for a geometry-optimized MnCoW3 structure.

**Volume**: 17.1 A^3/atom

abc: 4.403 4.403 4.403
angles: 90.00 90.00 90.00
Atoms (fractional coordinates):
W 0.500 0.000 0.000
Mn 0.500 0.500 0.500
W 0.000 0.000 0.500
W 0.000 0.500 0.000
Co 0.000 0.000 0.000

=====

Entry x
A plane-wave DFT calculation with PBE was carried out for a geometry-optimized MnCoW3 structure.

**Volume**: 17.2 A^3/atom

abc: 4.414 4.414 4.414
angles: 90.00 90.00 90.00
Atoms (fractional coordinates):
W 0.000 0.000 0.500
W 0.000 0.500 0.000
Co 0.500 0.500 0.500
Mn 0.000 0.000 0.000
W 0.500 0.000 0.000

=====

entry x takes first place; second place is 10.0 kJ/mol of atoms up.